# 1
First-principles (PBE) data for a relaxed K2SnHgTe4 crystal, as listed in OQMD via LeMat-Bulk.

Crystal system: tetragonal

Cell lengths 7.2407, 7.2407, 7.2407 Å; angles 105.46, 105.46, 117.82 degrees
Closest atoms and distances in Å follow each position.
Positions (direct):
Sn 0.5000 0.5000 0.0000  4 Te 2.81
Te 0.9134 0.9134 0.3518  1 Sn 2.81, 1 Hg 2.93
Te 0.5616 0.5616 0.6482  1 Sn 2.81, 1 Hg 2.93
Te 0.4384 0.0866 0.0000  1 Sn 2.81, 1 Hg 2.93
Te 0.0866 0.4384 0.0000  1 Sn 2.81, 1 Hg 2.93
Hg 0.0000 0.0000 0.0000  4 Te 2.93
K 0.5000 0.0000 0.5000  8 Te 3.69-3.78, 2 K 3.74
K 0.0000 0.5000 0.5000  8 Te 3.69-3.78, 2 K 3.74

=====

# 2
First-principles (PBE) data for a relaxed SmZn12 crystal, as listed in OQMD via LeMat-Bulk.

Crystal system: tetragonal
ΔE_f: -0.19 eV/atom
M_tot: 0.000 μB per atom

Cell lengths 6.7789, 6.7789, 6.7789 Å; angles 98.62, 98.62, 134.44 degrees
Closest atoms and distances in Å follow each position.
Positions (direct):
Zn 0.2815 0.5000 0.7815  10 Zn 2.59-2.89
Zn 0.7185 0.5000 0.2185  10 Zn 2.59-2.89
Zn 0.0000 0.3543 0.3543  7 Zn 2.58-2.80
Zn 0.0000 0.0000 0.5000  10 Zn 2.59-2.73
Zn 0.3543 0.0000 0.3543  7 Zn 2.58-2.80
Zn 0.0000 0.5000 0.0000  10 Zn 2.59-2.73
Zn 0.5000 0.5000 0.5000  10 Zn 2.59-2.73
Zn 0.5000 0.0000 0.0000  10 Zn 2.59-2.73
Zn 0.5000 0.2815 0.7815  10 Zn 2.59-2.89
Zn 0.0000 0.6457 0.6457  7 Zn 2.58-2.80
Zn 0.6457 0.0000 0.6457  7 Zn 2.58-2.80
Zn 0.5000 0.7185 0.2185  10 Zn 2.59-2.89
Sm 0.0000 0.0000 0.0000  20 Zn 3.13-3.39

=====

# 3
First-principles (PBE) data for a relaxed SmHoW crystal, as listed in OQMD via LeMat-Bulk.

Crystal system: cubic
ΔE_f: 0.84 eV/atom
M_tot: 0.001 μB per atom

Cell lengths 4.8890, 4.8890, 4.8890 Å; angles 60.00, 60.00, 60.00 degrees
Closest atoms and distances in Å follow each position.
Positions (direct):
Ho 0.2500 0.2500 0.2500  4 W 2.99
W 0.0000 0.0000 0.0000  4 Ho 2.99, 4 Sm 2.99
Sm 0.7500 0.7500 0.7500  4 W 2.99

=====

# 4
First-principles (PBE) data for a relaxed IrCl4 crystal, as listed in OQMD via LeMat-Bulk.

Crystal system: monoclinic
M_tot: 0.016 μB per atom

Cell lengths 6.6900, 5.8118, 6.1371 Å; angles 90.00, 112.10, 90.00 degrees
Closest atoms and distances in Å follow each position.
Positions (direct):
Cl 0.3595 0.3276 0.1215  2 Ir 2.36-2.37
Cl 0.1662 0.8344 0.8977  1 Ir 2.29
Cl 0.3595 0.1724 0.6215  2 Ir 2.36-2.37
Cl 0.8338 0.1656 0.1023  1 Ir 2.29
Cl 0.8338 0.3344 0.6023  1 Ir 2.29
Cl 0.6405 0.8276 0.3785  2 Ir 2.36-2.37
Cl 0.6405 0.6724 0.8785  2 Ir 2.36-2.37
Cl 0.1662 0.6656 0.3977  1 Ir 2.29
Ir 0.5000 0.5000 0.5000  6 Cl 2.29-2.37
Ir 0.5000 0.0000 0.0000  6 Cl 2.29-2.37

=====

# 5
First-principles (PBE) data for a relaxed SmZr2 crystal, as listed in OQMD via LeMat-Bulk.

Crystal system: hexagonal
ΔE_f: 0.12 eV/atom
M_tot: 0.006 μB per atom

Cell lengths 5.8255, 5.8255, 5.3384 Å; angles 90.00, 90.00, 60.00 degrees
Closest atoms and distances in Å follow each position.
Positions (direct):
Zr 0.3555 0.6667 0.5000  8 Zr 3.14-3.48, 4 Sm 3.34
Zr 0.6667 0.6667 0.0000  6 Zr 3.23, 6 Sm 3.36
Zr 0.9779 0.3555 0.5000  8 Zr 3.14-3.48, 4 Sm 3.34
Zr 0.6667 0.9779 0.5000  8 Zr 3.14-3.48, 4 Sm 3.34
Sm 0.3333 0.3333 0.0000  9 Zr 3.34-3.36, 3 Sm 3.36
Sm 0.0000 0.0000 0.0000  9 Zr 3.34-3.36, 3 Sm 3.36

=====

# 6
First-principles (PBE) data for a relaxed YHo2In crystal, as listed in OQMD via LeMat-Bulk.

Crystal system: tetragonal
M_tot: 0.083 μB per atom

Cell lengths 4.8220, 4.8220, 4.8376 Å; angles 90.00, 90.00, 90.00 degrees
Closest atoms and distances in Å follow each position.
Positions (direct):
In 0.0000 0.0000 0.0000  4 Y 3.41, 8 Ho 3.42
Ho 0.0000 0.5000 0.5000  4 Ho 3.41, 4 In 3.42, 4 Y 3.42
Ho 0.5000 0.0000 0.5000  4 Ho 3.41, 4 In 3.42, 4 Y 3.42
Y 0.5000 0.5000 0.0000  4 In 3.41, 8 Ho 3.42

=====

Number 1: E_tot -23.6 eV per cell, density 5244 kg/m3. Number 2: E_tot -22.4 eV per cell, density 7574 kg/m3. Number 3: E_tot -19.7 eV per cell, density 10030 kg/m3. Number 4: E_tot -35.7 eV per cell, density 5018 kg/m3. Number 5: E_tot -42.9 eV per cell, density 7044 kg/m3. Number 6: E_tot -19.4 eV per cell, density 7877 kg/m3.